1.
DFT (PBE-GGA) results for AsWAu2 after structural relaxation.

Cell and atoms, written as POSCAR:
```
AsWAu2
1.0
1.652 -2.275 0.000
1.652 2.275 0.000
0.000 0.000 9.870
As W Au
1 1 2
Direct
0.000 0.000 0.000
0.500 0.500 0.206
0.000 0.000 0.442
0.500 0.500 0.688
```

Output
The total magnetic moment is 0.00 μB/f.u. The value obtained for the formation energy is 1.23 eV per formula unit. The calculation puts the raw total energy at -5.732 eV/atom.

2.
DFT (PBE-GGA) results for AsWAu2 after structural relaxation.

Cell and atoms, written as POSCAR:
```
AsWAu2
1.0
1.480 0.855 9.256
-1.480 0.855 9.256
0.000 -1.709 9.256
As W Au
1 1 2
Direct
0.000 0.000 0.000
0.500 0.500 0.500
0.248 0.248 0.248
0.752 0.752 0.752
```

Output
The total magnetic moment is 0.00 μB/f.u. The value obtained for the formation energy is 1.48 eV per formula unit. The calculation puts the raw total energy at -5.669 eV/atom.